Model P:
Below is a relaxed structure of YHoHg, with properties calculated at the PBE-GGA level.

a = 4.757 Å, b = 4.757 Å, c = 7.622 Å
α = 90.00°, β = 90.00°, γ = 90.00°
Space group P4/nmm (No. 129, origin choice 2)
Inequivalent atoms, fractional coordinates:
Y (0.250, 0.250, 0.138) (multiplicity 2)
Ho (0.250, 0.750, 0.500) (multiplicity 2)
Hg (0.250, 0.250, 0.755) (multiplicity 2)

DOS at the Fermi energy ... 3.875 states/eV per cell



Model Q:
Below is a relaxed structure of YHoHg, with properties calculated at the PBE-GGA level.

a = 7.107 Å, b = 5.090 Å, c = 9.190 Å
α = 90.00°, β = 90.00°, γ = 90.00°
Space group Pnma (No. 62)
Inequivalent atoms, fractional coordinates:
Y (0.016, 0.250, 0.194) (multiplicity 4)
Ho (0.168, 0.250, 0.575) (multiplicity 4)
Hg (0.241, 0.250, 0.899) (multiplicity 4)

DOS at the Fermi energy ... 4.283 states/eV per cell



Model R:
Below is a relaxed structure of YHoHg, with properties calculated at the PBE-GGA level.

a = 8.740 Å, b = 3.780 Å, c = 15.309 Å
α = 90.00°, β = 91.32°, γ = 90.00°
Space group P2_1/m (No. 11)
Inequivalent atoms, fractional coordinates:
Y (0.023, 0.250, 0.286) (multiplicity 2)
Y (0.370, 0.750, 0.912) (multiplicity 2)
Y (0.474, 0.750, 0.608) (multiplicity 2)
Ho (0.026, 0.250, 0.904) (multiplicity 2)
Ho (0.145, 0.250, 0.548) (multiplicity 2)
Ho (0.360, 0.750, 0.213) (multiplicity 2)
Hg (0.239, 0.750, 0.402) (multiplicity 2)
Hg (0.258, 0.250, 0.063) (multiplicity 2)
Hg (0.278, 0.250, 0.745) (multiplicity 2)

DOS at the Fermi energy ... 24.167 states/eV per cell



Model S:
Below is a relaxed structure of YHoHg, with properties calculated at the PBE-GGA level.

a = 5.1316 Å, b = 5.1316 Å, c = 3.7028 Å
α = 90.00°, β = 90.00°, γ = 120.00°
Space group P3m1 (No. 156)
Inequivalent atoms, fractional coordinates:
Y (0.0000, 0.0000, 0.0000) (multiplicity 1)
Ho (0.3333, 0.6667, 0.4659) (multiplicity 1)
Hg (0.6667, 0.3333, 0.6920) (multiplicity 1)

DOS at the Fermi energy ... 3.012 states/eV per cell



Most stable one: model Q, least stable one: model S.



Model P:
Below is a relaxed structure of YHo2Hg4, with properties calculated at the PBE-GGA level.

a = 5.618 Å, b = 5.618 Å, c = 15.295 Å
α = 90.00°, β = 90.00°, γ = 90.00°
Space group I4/mmm (No. 139)
Inequivalent atoms, fractional coordinates:
Y (0.000, 0.000, 0.000) (multiplicity 2)
Ho (0.000, 0.000, 0.399) (multiplicity 4)
Hg (0.000, 0.000, 0.200) (multiplicity 4)
Hg (0.000, 0.500, 0.000) (multiplicity 4)

DOS at the Fermi energy ... 13.297 states/eV per cell



Model Q:
Below is a relaxed structure of YHo2Hg4, with properties calculated at the PBE-GGA level.

a = 5.0817 Å, b = 5.0817 Å, c = 25.9514 Å
α = 90.00°, β = 90.00°, γ = 120.00°
Space group R-3m (No. 166, hexagonal axes)
Inequivalent atoms, fractional coordinates:
Y (0.0000, 0.0000, 0.0000) (multiplicity 3)
Ho (0.0000, 0.0000, 0.2445) (multiplicity 6)
Hg (0.0000, 0.0000, 0.1267) (multiplicity 6)
Hg (0.0000, 0.0000, 0.3763) (multiplicity 6)

DOS at the Fermi energy ... 17.299 states/eV per cell



Most stable one: model Q, least stable one: model P.



Model P:
Below is a relaxed structure of Y2HoHg, with properties calculated at the PBE-GGA level.

a = 3.6575 Å, b = 3.6575 Å, c = 31.3008 Å
α = 90.00°, β = 90.00°, γ = 120.00°
Space group R3m (No. 160, hexagonal axes)
Inequivalent atoms, fractional coordinates:
Y (0.0000, 0.0000, 0.0000) (multiplicity 3)
Y (0.0000, 0.0000, 0.1814) (multiplicity 3)
Ho (0.0000, 0.0000, 0.4240) (multiplicity 3)
Hg (0.0000, 0.0000, 0.5904) (multiplicity 3)

DOS at the Fermi energy ... 15.479 states/eV per cell



Model Q:
Below is a relaxed structure of Y2HoHg, with properties calculated at the PBE-GGA level.

a = 3.605 Å, b = 3.605 Å, c = 8.923 Å
α = 90.00°, β = 90.00°, γ = 90.00°
Space group P4/mmm (No. 123)
Inequivalent atoms, fractional coordinates:
Y (0.000, 0.000, 0.223) (multiplicity 2)
Ho (0.500, 0.500, 0.500) (multiplicity 1)
Hg (0.500, 0.500, 0.000) (multiplicity 1)

DOS at the Fermi energy ... 4.977 states/eV per cell



Model R:
Below is a relaxed structure of Y2HoHg, with properties calculated at the PBE-GGA level.

a = 3.542 Å, b = 3.491 Å, c = 19.345 Å
α = 90.00°, β = 90.00°, γ = 90.00°
Space group Amm2 (No. 38)
Inequivalent atoms, fractional coordinates:
Y (0.000, 0.000, 0.000) (multiplicity 2)
Y (0.500, 0.000, 0.367) (multiplicity 2)
Ho (0.000, 0.000, 0.210) (multiplicity 2)
Hg (0.500, 0.000, 0.608) (multiplicity 2)

DOS at the Fermi energy ... 12.126 states/eV per cell



Model S:
Below is a relaxed structure of Y2HoHg, with properties calculated at the PBE-GGA level.

a = 3.5230 Å, b = 3.5230 Å, c = 34.7946 Å
α = 90.00°, β = 90.00°, γ = 120.00°
Space group R-3m (No. 166, hexagonal axes)
Inequivalent atoms, fractional coordinates:
Y (0.0000, 0.0000, 0.0972) (multiplicity 6)
Ho (0.0000, 0.0000, 0.0000) (multiplicity 3)
Hg (0.0000, 0.0000, 0.5000) (multiplicity 3)

DOS at the Fermi energy ... 15.616 states/eV per cell



Most stable one: model Q, least stable one: model S.



Model P:
Below is a relaxed structure of Y2HoHg2, with properties calculated at the PBE-GGA level.

a = 8.446 Å, b = 8.446 Å, c = 3.854 Å
α = 90.00°, β = 90.00°, γ = 90.00°
Space group P4/mbm (No. 127)
Inequivalent atoms, fractional coordinates:
Y (0.167, 0.333, 0.000) (multiplicity 4)
Ho (0.000, 0.000, 0.500) (multiplicity 2)
Hg (0.133, 0.633, 0.500) (multiplicity 4)

DOS at the Fermi energy ... 5.694 states/eV per cell



Model Q:
Below is a relaxed structure of Y2HoHg2, with properties calculated at the PBE-GGA level.

a = 3.758 Å, b = 5.283 Å, c = 13.718 Å
α = 90.00°, β = 97.92°, γ = 90.00°
Space group P2_1/m (No. 11)
Inequivalent atoms, fractional coordinates:
Y (0.047, 0.250, 0.095) (multiplicity 2)
Y (0.235, 0.250, 0.471) (multiplicity 2)
Ho (0.146, 0.750, 0.292) (multiplicity 2)
Hg (0.357, 0.750, 0.712) (multiplicity 2)
Hg (0.452, 0.250, 0.903) (multiplicity 2)

DOS at the Fermi energy ... 9.263 states/eV per cell



Most stable one: model P, least stable one: model Q.



Model P:
Below is a relaxed structure of YHoHg4, with properties calculated at the PBE-GGA level.

a = 5.197 Å, b = 3.906 Å, c = 14.612 Å
α = 90.00°, β = 90.00°, γ = 90.00°
Space group Amm2 (No. 38)
Inequivalent atoms, fractional coordinates:
Y (0.000, 0.000, 0.000) (multiplicity 2)
Ho (0.500, 0.000, 0.208) (multiplicity 2)
Hg (0.000, 0.000, 0.334) (multiplicity 2)
Hg (0.000, 0.000, 0.669) (multiplicity 2)
Hg (0.500, 0.000, 0.540) (multiplicity 2)
Hg (0.500, 0.000, 0.873) (multiplicity 2)

DOS at the Fermi energy ... 6.266 states/eV per cell



Model Q:
Below is a relaxed structure of YHoHg4, with properties calculated at the PBE-GGA level.

a = 8.404 Å, b = 8.404 Å, c = 8.404 Å
α = 90.00°, β = 90.00°, γ = 90.00°
Space group F-43m (No. 216)
Inequivalent atoms, fractional coordinates:
Y (0.000, 0.000, 0.000) (multiplicity 4)
Ho (0.250, 0.250, 0.750) (multiplicity 4)
Hg (0.125, 0.125, 0.375) (multiplicity 16)

DOS at the Fermi energy ... 22.650 states/eV per cell



Most stable one: model P, least stable one: model Q.



Model P:
Below is a relaxed structure of Ho3ZnHg, with properties calculated at the PBE-GGA level.

a = 8.1119 Å, b = 8.1119 Å, c = 4.7835 Å
α = 90.00°, β = 90.00°, γ = 120.00°
Space group P6_3/mmc (No. 194)
Inequivalent atoms, fractional coordinates:
Ho (0.1918, 0.3835, 0.2500) (multiplicity 6)
Zn (0.0000, 0.0000, 0.0000) (multiplicity 2)
Hg (0.3333, 0.6667, 0.7500) (multiplicity 2)

DOS at the Fermi energy ... 8.658 states/eV per cell



Model Q:
Below is a relaxed structure of Ho3ZnHg, with properties calculated at the PBE-GGA level.

a = 5.094 Å, b = 19.839 Å, c = 5.099 Å
α = 90.00°, β = 90.00°, γ = 90.00°
Space group Cmcm (No. 63)
Inequivalent atoms, fractional coordinates:
Ho (0.000, 0.063, 0.250) (multiplicity 4)
Ho (0.000, 0.249, 0.250) (multiplicity 4)
Ho (0.000, 0.434, 0.250) (multiplicity 4)
Zn (0.000, 0.156, 0.750) (multiplicity 4)
Hg (0.000, 0.341, 0.750) (multiplicity 4)

DOS at the Fermi energy ... 25.880 states/eV per cell



Most stable one: model Q, least stable one: model P.



Model P:
Below is a relaxed structure of Ho4Zn2Hg, with properties calculated at the PBE-GGA level.

a = 5.0454 Å, b = 5.0454 Å, c = 24.3408 Å
α = 90.00°, β = 90.00°, γ = 120.00°
Space group R-3m (No. 166, hexagonal axes)
Inequivalent atoms, fractional coordinates:
Ho (0.0000, 0.0000, 0.1173) (multiplicity 6)
Ho (0.0000, 0.0000, 0.3700) (multiplicity 6)
Zn (0.0000, 0.0000, 0.2490) (multiplicity 6)
Hg (0.0000, 0.0000, 0.5000) (multiplicity 3)

DOS at the Fermi energy ... 24.093 states/eV per cell



Model Q:
Below is a relaxed structure of Ho4Zn2Hg, with properties calculated at the PBE-GGA level.

a = 4.9025 Å, b = 4.9025 Å, c = 27.3843 Å
α = 90.00°, β = 90.00°, γ = 120.00°
Space group R-3m (No. 166, hexagonal axes)
Inequivalent atoms, fractional coordinates:
Ho (0.0000, 0.0000, 0.1185) (multiplicity 6)
Ho (0.0000, 0.0000, 0.2973) (multiplicity 6)
Zn (0.0000, 0.0000, 0.4026) (multiplicity 6)
Hg (0.0000, 0.0000, 0.5000) (multiplicity 3)

DOS at the Fermi energy ... 33.268 states/eV per cell



Most stable one: model P, least stable one: model Q.



Model P:
Below is a relaxed structure of Ho3ZnHg2, with properties calculated at the PBE-GGA level.

a = 3.630 Å, b = 3.630 Å, c = 11.104 Å
α = 90.00°, β = 90.00°, γ = 90.00°
Space group P4/mmm (No. 123)
Inequivalent atoms, fractional coordinates:
Ho (0.000, 0.000, 0.000) (multiplicity 1)
Ho (0.000, 0.000, 0.345) (multiplicity 2)
Zn (0.500, 0.500, 0.500) (multiplicity 1)
Hg (0.500, 0.500, 0.174) (multiplicity 2)

DOS at the Fermi energy ... 5.868 states/eV per cell



Model Q:
Below is a relaxed structure of Ho3ZnHg2, with properties calculated at the PBE-GGA level.

a = 5.1663 Å, b = 5.1663 Å, c = 12.7411 Å
α = 90.00°, β = 90.00°, γ = 120.00°
Space group P-3m1 (No. 164)
Inequivalent atoms, fractional coordinates:
Ho (0.0000, 0.0000, 0.2449) (multiplicity 2)
Ho (0.3333, 0.6667, 0.4127) (multiplicity 2)
Ho (0.3333, 0.6667, 0.9183) (multiplicity 2)
Zn (0.3333, 0.6667, 0.1661) (multiplicity 2)
Hg (0.0000, 0.0000, 0.0000) (multiplicity 1)
Hg (0.0000, 0.0000, 0.5000) (multiplicity 1)
Hg (0.3333, 0.6667, 0.6729) (multiplicity 2)

DOS at the Fermi energy ... 11.023 states/eV per cell



Most stable one: model P, least stable one: model Q.